No. 1
# PBE-GGA NaTl5Cd2, relaxed
# E_tot   -30.15 eV for the cell shown
data_NaTl5Cd2
_symmetry_space_group_name_H-M 'P 1 21/m 1'
_symmetry_Int_Tables_number 11
_cell_length_a 6.2882
_cell_length_b 5.2140
_cell_length_c 13.9029
_cell_angle_alpha 90.00
_cell_angle_beta 90.07
_cell_angle_gamma 90.00
loop_
_symmetry_equiv_pos_as_xyz
'x,y,z'
'-x,-y,-z'
'-x,y+1/2,-z'
'x,-y+1/2,z'
loop_
_atom_site_label
_atom_site_type_symbol
_atom_site_fract_x
_atom_site_fract_y
_atom_site_fract_z
Na1 Na 0.1538 0.2500 0.2499
Tl1 Tl 0.1566 0.2500 0.7496
Tl2 Tl 0.1727 0.2500 0.5045
Tl3 Tl 0.1727 0.2500 0.9950
Tl4 Tl 0.3432 0.7500 0.1261
Tl5 Tl 0.3434 0.7500 0.3740
Cd1 Cd 0.3507 0.7500 0.6326
Cd2 Cd 0.3510 0.7500 0.8671

---

No. 2
# PBE-GGA Na4TlCd, relaxed
# E_tot   -8.95 eV for the cell shown
data_Na4TlCd
_symmetry_space_group_name_H-M 'P -1'
_symmetry_Int_Tables_number 2
_cell_length_a 5.9125
_cell_length_b 5.9285
_cell_length_c 6.1603
_cell_angle_alpha 101.96
_cell_angle_beta 102.29
_cell_angle_gamma 118.43
loop_
_symmetry_equiv_pos_as_xyz
'x,y,z'
'-x,-y,-z'
loop_
_atom_site_label
_atom_site_type_symbol
_atom_site_fract_x
_atom_site_fract_y
_atom_site_fract_z
Na1 Na 0.1603 0.3403 0.0002
Na2 Na 0.3390 0.1609 0.4998
Tl1 Tl 0.0000 0.5000 0.5000
Cd1 Cd 0.5000 0.0000 0.0000

---

No. 3
# PBE-GGA Na17Tl11Cd, relaxed
# E_tot   -104.55 eV for the cell shown
data_Na17Tl11Cd
_symmetry_space_group_name_H-M 'C 1 m 1'
_symmetry_Int_Tables_number 8
_cell_length_a 11.9527
_cell_length_b 16.9379
_cell_length_c 10.3498
_cell_angle_alpha 90.00
_cell_angle_beta 125.19
_cell_angle_gamma 90.00
loop_
_symmetry_equiv_pos_as_xyz
'x,y,z'
'x,-y,z'
'x+1/2,y+1/2,z'
'x+1/2,-y+1/2,z'
loop_
_atom_site_label
_atom_site_type_symbol
_atom_site_fract_x
_atom_site_fract_y
_atom_site_fract_z
Na1 Na 0.0000 0.0000 0.0000
Na2 Na 0.0006 0.0000 0.3374
Na3 Na 0.0135 0.2937 0.6478
Na4 Na 0.0535 0.3614 0.3395
Na5 Na 0.0906 0.5000 0.6162
Na6 Na 0.2060 0.2067 0.0287
Na7 Na 0.3079 0.0000 0.0607
Na8 Na 0.3302 0.3299 0.3367
Na9 Na 0.3382 0.0000 0.6750
Na10 Na 0.3437 0.3465 0.7510
Na11 Na 0.4320 0.1540 0.9261
Tl1 Tl 0.0010 0.1900 0.1486
Tl2 Tl 0.0907 0.0947 0.7182
Tl3 Tl 0.1205 0.5000 0.1553
Tl4 Tl 0.1870 0.1905 0.5298
Tl5 Tl 0.2137 0.4050 0.9597
Tl6 Tl 0.2875 0.0953 0.3393
Cd1 Cd 0.3145 0.5000 0.5206

---

No. 4
# PBE-GGA Na5Tl8Cd, relaxed
# E_tot   -54.18 eV for the cell shown
data_Na5Tl8Cd
_symmetry_space_group_name_H-M 'I -4'
_symmetry_Int_Tables_number 82
_cell_length_a 9.0782
_cell_length_b 9.0782
_cell_length_c 10.1797
_cell_angle_alpha 90.00
_cell_angle_beta 90.00
_cell_angle_gamma 90.00
loop_
_symmetry_equiv_pos_as_xyz
'x,y,z'
'y,-x,-z'
'-x,-y,z'
'-y,x,-z'
'x+1/2,y+1/2,z+1/2'
'y+1/2,-x+1/2,-z+1/2'
'-x+1/2,-y+1/2,z+1/2'
'-y+1/2,x+1/2,-z+1/2'
loop_
_atom_site_label
_atom_site_type_symbol
_atom_site_fract_x
_atom_site_fract_y
_atom_site_fract_z
Na1 Na 0.0000 0.0000 0.0000
Na2 Na 0.1303 0.2761 0.6815
Tl1 Tl 0.0785 0.1792 0.3645
Tl2 Tl 0.0818 0.3358 0.9970
Cd1 Cd 0.0000 0.5000 0.2500

---

Number 1: total magnetization 0.000 μB/atom, E_form -0.01 eV/atom. Number 2: total magnetization 0.000 μB/atom, E_form -0.07 eV/atom. Number 3: total magnetization 0.000 μB/atom, E_form -0.10 eV/atom. Number 4: total magnetization 0.000 μB/atom, E_form -0.05 eV/atom.